Entry from Alexandria via LeMat-Bulk: a relaxed structure of AcGa2Sn2 (PBE-GGA).

Unit cell a=4.5103 b=4.6352 c=25.7007 alpha=90.00 beta=90.00 gamma=90.00
Space group Imma (No. 74)
One atom of each set of equivalent atoms:
Ac 0.0000 0.2500 0.1740 [4 per cell]
Ga 0.0000 0.2500 0.6293 [4 per cell]
Ga 0.0000 0.2500 0.7275 [4 per cell]
Sn 0.0000 0.2500 0.4455 [4 per cell]
Sn 0.0000 0.2500 0.9408 [4 per cell]

Computed properties:
Formation energy = -364.8 meV/atom
DFT total energy = -80.0 eV/cell

***

Entry from Alexandria via LeMat-Bulk: a relaxed structure of LiLa2In2H (PBE-GGA).

Unit cell a=6.7676 b=14.0848 c=6.1432 alpha=90.00 beta=90.00 gamma=90.00
Space group Ibam (No. 72)
One atom of each set of equivalent atoms:
Li 0.0000 0.0000 0.2500 [4 per cell]
La 0.1409 0.3839 0.0000 [8 per cell]
In 0.1471 0.1476 0.0000 [8 per cell]
H 0.0000 0.5000 0.2500 [4 per cell]

Computed properties:
DFT total energy = -90.4 eV/cell

***

no.,size of the total moment (Bohr magnetons per cell)
1,0.0
2,0.0